(1)
6
Lattice="3.270 0.000 0.000 -0.001 5.685 0.000 -1.625 -2.842 5.665" Properties=species:S:1:pos:R:3 comment="AlBS (PBE-GGA, relaxed)" vol_a3_per_cell=105.3 formation_energy_uncorrected_kj_per_mol_atoms=-32.3 relative_energy_ev_per_atom=0.044 total_energy_ev_per_cell=-31.1 pbc="T T T"
Al 0.000 0.000 0.000
Al 0.009 0.001 3.596
B 0.776 4.503 1.799
B 2.479 4.500 1.799
S 0.010 -1.280 5.521
S 1.644 1.563 3.740



(2)
10
Lattice="4.422 0.000 0.000 0.000 4.422 0.000 0.000 0.000 10.353" Properties=species:S:1:pos:R:3 comment="Ac2Al3SiPt4 (PBE-GGA, relaxed)" vol_a3_per_cell=202.4 formation_energy_uncorrected_kj_per_mol_atoms=-104.4 total_energy_ev_per_cell=-59.8 pbc="T T T"
Ac 0.000 2.211 2.536
Ac 2.211 0.000 7.817
Al 0.000 0.000 0.000
Al 0.000 2.211 6.462
Al 2.211 0.000 3.891
Si 2.211 2.211 0.000
Pt 0.000 0.000 5.176
Pt 0.000 2.211 9.072
Pt 2.211 0.000 1.281
Pt 2.211 2.211 5.176